Record 1
CeAsO5: optimized geometry, PBE-GGA. Values from VASP.

Geometry as Quantum ESPRESSO input:
```
&SYSTEM
  ibrav = 0, nat = 14, ntyp = 3
/
ATOMIC_SPECIES
Ce 140.12 Ce.upf
As 74.92 As.upf
O 16.00 O.upf
CELL_PARAMETERS angstrom
4.200 -4.330 0.000
4.200 4.330 0.000
-3.967 0.000 7.237
ATOMIC_POSITIONS crystal
Ce 0.000 0.000 0.000
Ce 0.000 0.000 0.500
As 0.368 0.632 0.750
As 0.632 0.368 0.250
O 0.048 0.952 0.250
O 0.245 0.740 0.916
O 0.260 0.755 0.584
O 0.291 0.329 0.649
O 0.329 0.291 0.149
O 0.671 0.709 0.851
O 0.709 0.671 0.351
O 0.740 0.245 0.416
O 0.755 0.260 0.084
O 0.952 0.048 0.750
```

## Properties
- E_form (uncorrected): -1.86 eV per atom
- Calculated total energy: -6.915 eV per atom
- Crystal system: monoclinic
- N(E_F): 13.01 states/eV/cell


Record 2
CsRbP2S: optimized geometry, PBE-GGA. Values from VASP.

Geometry as Quantum ESPRESSO input:
```
&SYSTEM
  ibrav = 0, nat = 5, ntyp = 4
/
ATOMIC_SPECIES
Cs 132.91 Cs.upf
Rb 85.47 Rb.upf
P 30.97 P.upf
S 32.06 S.upf
CELL_PARAMETERS angstrom
6.003 0.000 0.000
0.000 6.003 0.000
0.000 0.000 6.020
ATOMIC_POSITIONS crystal
Cs 0.000 0.000 0.000
Rb 0.500 0.500 0.500
P 0.000 0.500 0.000
P 0.500 0.000 0.000
S 0.000 0.000 0.500
```

## Properties
- E_form (uncorrected): 1.02 eV per atom
- E above lowest polymorph: 0.1285 eV per atom
- Calculated total energy: -2.338 eV per atom
- Crystal system: tetragonal
- N(E_F): 2.58 states/eV/cell


Record 3
Cr2P2Pt: optimized geometry, PBE-GGA. Values from VASP.

Geometry as Quantum ESPRESSO input:
```
&SYSTEM
  ibrav = 0, nat = 10, ntyp = 3
/
ATOMIC_SPECIES
Cr 52.00 Cr.upf
P 30.97 P.upf
Pt 195.08 Pt.upf
CELL_PARAMETERS angstrom
6.779 0.000 0.000
0.000 6.779 0.000
0.000 0.000 2.780
ATOMIC_POSITIONS crystal
Cr 0.135 0.365 0.000
Cr 0.365 0.865 0.000
Cr 0.635 0.135 0.000
Cr 0.865 0.635 0.000
P 0.154 0.654 0.500
P 0.346 0.154 0.500
P 0.654 0.846 0.500
P 0.846 0.346 0.500
Pt 0.000 0.000 0.000
Pt 0.500 0.500 0.000
```

## Properties
- Energy relative to the elements: -0.154 eV/atom
- E above lowest polymorph: 0.1124 eV per atom
- Calculated total energy: -7.375 eV per atom
- Crystal system: tetragonal
- N(E_F): 7.58 states/eV/cell